1.
Li4Cr5BiO12: PBEsol geometry, SCAN.

a b c (Å): 5.1705 5.1634 9.9152
angles (deg): 85.04 80.05 59.95
With the nearest neighbours (Å) after each atom.
Sites, in units of the cell vectors:
Li  0.5796  0.6651  0.7652  6 O 2.14-2.18
Li  0.7553  0.6651  0.2348  6 O 2.14-2.18
Li  0.2447  0.3349  0.7652  6 O 2.14-2.18
Li  0.4204  0.3349  0.2348  6 O 2.14-2.18
Cr  0.8361  0.3277  0.0000  6 O 1.96-2.00
Cr  0.3334  0.3332  0.5000  6 O 1.94-1.95
Cr  0.6666  0.6668  0.5000  6 O 1.94-1.95
Cr  0.1639  0.6723  0.0000  6 O 1.96-2.00
Cr  0.5000  0.0000  0.0000  6 O 1.95-2.00
Bi  0.0000  0.0000  0.5000  6 O 2.29
O  0.6491  0.3882  0.3864  2 Cr 1.95, 2 Li 2.18
O  0.9627  0.3882  0.6136  2 Cr 1.95, 2 Li 2.18
O  0.4755  0.6578  0.1004  3 Cr 1.96-2.00, 2 Li 2.14
O  0.1334  0.3422  0.1004  3 Cr 1.96-2.00, 2 Li 2.14
O  0.8666  0.6578  0.8996  3 Cr 1.96-2.00, 2 Li 2.14
O  0.2093  0.0000  0.8985  3 Cr 1.95-1.99, 2 Li 2.15
O  0.5245  0.3422  0.8996  3 Cr 1.96-2.00, 2 Li 2.14
O  0.0373  0.6118  0.3864  2 Cr 1.95, 2 Li 2.18
O  0.4255  0.0000  0.3865  2 Cr 1.94
O  0.3509  0.6118  0.6136  2 Cr 1.95, 2 Li 2.18
O  0.5745  0.0000  0.6135  2 Cr 1.94
O  0.7907  0.0000  0.1015  3 Cr 1.95-1.99, 2 Li 2.15

Computed properties:
**Theoretical density**: 5.07 Mg/m³
**E_tot**: -13.7711 eV/atom
**E_form (uncorrected)**: -48.1 eV/f.u.

=====

2.
Li2Cr3BiO8: PBEsol geometry, SCAN.

a b c (Å): 5.8399 5.8399 6.4611
angles (deg): 63.13 63.13 60.00
With the nearest neighbours (Å) after each atom.
Sites, in units of the cell vectors:
Li  0.9085  0.9085  0.2745  3 O 1.86
Li  0.0915  0.0915  0.7255  3 O 1.86
Cr  0.5000  0.0000  0.0000  6 O 1.94-1.95
Cr  0.0000  0.5000  0.0000  6 O 1.94-1.95
Cr  0.5000  0.5000  0.0000  6 O 1.94-1.95
Bi  0.5000  0.5000  0.5000  6 O 2.30
O  0.2748  0.2748  0.1755  3 Cr 1.94
O  0.7252  0.7252  0.8245  3 Cr 1.94
O  0.2923  0.7571  0.1936  1 Li 1.86, 2 Cr 1.95
O  0.7571  0.2923  0.1936  1 Li 1.86, 2 Cr 1.95
O  0.7571  0.7571  0.1936  1 Li 1.86, 2 Cr 1.95
O  0.2429  0.2429  0.8064  1 Li 1.86, 2 Cr 1.95
O  0.2429  0.7077  0.8064  1 Li 1.86, 2 Cr 1.95
O  0.7077  0.2429  0.8064  1 Li 1.86, 2 Cr 1.95

Computed properties:
**Theoretical density**: 5.17 Mg/m³
**E_tot**: -15.5487 eV/atom
**E_form (uncorrected)**: -29.3 eV/f.u.

=====

3.
Li4CrBiTe2O12: PBEsol geometry, SCAN.

a b c (Å): 5.0338 5.3824 8.0583
angles (deg): 94.91 90.98 90.20
With the nearest neighbours (Å) after each atom.
Sites, in units of the cell vectors:
Li  0.4547  0.1063  0.7215  3 O 1.93-2.14
Li  0.5221  0.0713  0.2009  3 O 1.92-2.13
Li  0.0134  0.5894  0.1803  5 O 1.94-2.14
Li  0.0153  0.5593  0.7394  3 O 1.98-2.04
Cr  0.9888  0.0090  0.9816  1 O 1.59
Bi  0.5020  0.5169  0.4868  6 O 2.22-2.45
Te  0.0189  0.9916  0.4621  5 O 1.86-1.92
Te  0.5063  0.5048  0.0005  6 O 1.90-2.04
O  0.3012  0.1786  0.9470  1 Cr 1.85, 1 Li 1.99, 1 Te 2.04
O  0.6634  0.1056  0.4522  1 Te 1.90
O  0.1474  0.2897  0.5802  1 Te 1.90, 1 Li 1.98
O  0.8063  0.2880  0.0754  1 Cr 1.87, 1 Te 2.03, 1 Li 2.04
O  0.6278  0.4687  0.7771  1 Te 1.90, 1 Li 2.04
O  0.3772  0.4826  0.2198  1 Te 1.91, 1 Li 1.95
O  0.1838  0.6909  0.9538  1 Te 1.96, 1 Cr 1.97, 2 Li 1.99-2.14
O  0.8954  0.6595  0.4076  1 Te 1.90, 1 Li 1.94
O  0.2513  0.8332  0.6121  1 Te 1.92, 1 Li 1.93
O  0.7178  0.7985  0.0780  1 Te 1.95, 2 Li 1.98-2.07, 1 Cr 1.98
O  0.8494  0.9918  0.8019  1 Cr 1.59
O  0.1577  0.0068  0.2507  1 Te 1.86, 1 Li 1.92

Computed properties:
**Theoretical density**: 5.62 Mg/m³
**E_tot**: -14.3867 eV/atom
**E_form (uncorrected)**: -31.9 eV/f.u.

=====

4.
MgCr3Bi: PBEsol geometry, SCAN.

a b c (Å): 4.8816 4.8816 4.8816
angles (deg): 90.00 90.00 90.00
With the nearest neighbours (Å) after each atom.
Sites, in units of the cell vectors:
Cr  0.0000  0.5000  0.0000  2 Mg 2.44
Cr  0.0000  0.0000  0.5000  2 Mg 2.44
Cr  0.5000  0.0000  0.0000  2 Mg 2.44
Mg  0.0000  0.0000  0.0000  6 Cr 2.44
Bi  0.5000  0.5000  0.5000  12 Cr 3.45

Computed properties:
**Theoretical density**: 5.56 Mg/m³
**E_tot**: -26.6076 eV/atom
**Relative energy among the computed polymorphs**: 129 meV/atom
**ΔE_f**: 1.13 eV per atom

=====

5.
MgCr3Bi: PBEsol geometry, SCAN.

a b c (Å): 5.1887 5.1887 5.1887
angles (deg): 90.00 90.00 90.00
With the nearest neighbours (Å) after each atom.
Sites, in units of the cell vectors:
Cr  0.0000  0.5000  0.0000  2 Bi 2.59
Cr  0.0000  0.0000  0.5000  2 Bi 2.59
Cr  0.5000  0.0000  0.0000  2 Bi 2.59
Mg  0.5000  0.5000  0.5000  12 Cr 3.67
Bi  0.0000  0.0000  0.0000  6 Cr 2.59

Computed properties:
**Theoretical density**: 4.63 Mg/m³
**E_tot**: -26.7368 eV/atom
**Relative energy among the computed polymorphs**: 0 meV/atom
**ΔE_f**: 1.00 eV per atom

=====

6.
MgCrBiO5: PBEsol geometry, SCAN.

a b c (Å): 5.3087 7.5292 11.4929
angles (deg): 90.00 90.00 107.13
With the nearest neighbours (Å) after each atom.
Sites, in units of the cell vectors:
Mg  0.6230  0.1761  0.9210  6 O 2.04-2.14
Mg  0.3770  0.8239  0.0790  6 O 2.04-2.14
Mg  0.8770  0.3239  0.4210  6 O 2.04-2.14
Mg  0.1230  0.6761  0.5790  6 O 2.04-2.14
Cr  0.7805  0.9728  0.6473  4 O 1.69-1.71
Cr  0.2195  0.0272  0.3527  4 O 1.69-1.71
Cr  0.7195  0.5272  0.1473  4 O 1.69-1.71
Cr  0.2805  0.4728  0.8527  4 O 1.69-1.71
Bi  0.1118  0.1769  0.1005  5 O 2.18-2.42
Bi  0.8882  0.8231  0.8995  5 O 2.18-2.42
Bi  0.6118  0.6769  0.3995  5 O 2.18-2.42
Bi  0.3882  0.3231  0.6005  5 O 2.18-2.42
O  0.5791  0.3272  0.0736  1 Cr 1.70
O  0.0276  0.3310  0.9292  1 Cr 1.69
O  0.4921  0.6373  0.1784  1 Cr 1.69
O  0.7546  0.5148  0.5269  2 Mg 2.06-2.13, 2 Bi 2.18-2.22
O  0.8052  0.4871  0.2863  1 Cr 1.71
O  0.3052  0.9871  0.2137  1 Cr 1.71
O  0.5276  0.8310  0.5708  1 Cr 1.69
O  0.4724  0.1690  0.4292  1 Cr 1.69
O  0.2454  0.4852  0.4731  2 Mg 2.06-2.13, 2 Bi 2.18-2.22
O  0.9209  0.1728  0.5736  1 Cr 1.70
O  0.1948  0.5129  0.7137  1 Cr 1.71
O  0.4209  0.6728  0.9264  1 Cr 1.70
O  0.0791  0.8272  0.4264  1 Cr 1.70
O  0.6948  0.0129  0.7863  1 Cr 1.71
O  0.7454  0.9852  0.0269  2 Mg 2.06-2.13, 2 Bi 2.18-2.22
O  0.2546  0.0148  0.9731  2 Mg 2.06-2.13, 2 Bi 2.18-2.22
O  0.5079  0.3627  0.8216  1 Cr 1.69
O  0.9724  0.6690  0.0708  1 Cr 1.69
O  0.0079  0.8627  0.6784  1 Cr 1.69
O  0.9921  0.1373  0.3216  1 Cr 1.69

Computed properties:
**Theoretical density**: 5.53 Mg/m³
**E_tot**: -18.6508 eV/atom
**E_form (uncorrected)**: -16.1 eV/f.u.

=====

7.
Na3CrBi: PBEsol geometry, SCAN.

a b c (Å): 5.4661 5.4661 5.4661
angles (deg): 90.00 90.00 90.00
With the nearest neighbours (Å) after each atom.
Sites, in units of the cell vectors:
Cr  0.0000  0.0000  0.0000  6 Na 2.73
Bi  0.5000  0.5000  0.5000  12 Na 3.87
Na  0.0000  0.5000  0.0000  2 Cr 2.73
Na  0.0000  0.0000  0.5000  2 Cr 2.73
Na  0.5000  0.0000  0.0000  2 Cr 2.73

Computed properties:
**Theoretical density**: 3.35 Mg/m³
**E_tot**: -21.3795 eV/atom
**ΔE_f**: 0.54 eV per atom

=====

8.
NaCrBi2: PBEsol geometry, SCAN.

a b c (Å): 4.8669 4.8669 10.2685
angles (deg): 103.71 103.71 90.00
With the nearest neighbours (Å) after each atom.
Sites, in units of the cell vectors:
Cr  0.2500  0.7500  0.5000  4 Bi 2.90
Cr  0.0000  0.0000  0.0000  4 Bi 2.90
Bi  0.3363  0.8750  0.2500  2 Cr 2.90, 2 Na 3.05, 2 Bi 3.19
Bi  0.9137  0.3750  0.2500  2 Cr 2.90, 2 Na 3.05, 2 Bi 3.19
Bi  0.1250  0.0863  0.7500  2 Cr 2.90, 2 Na 3.05, 2 Bi 3.19
Bi  0.6250  0.6637  0.7500  2 Cr 2.90, 2 Na 3.05, 2 Bi 3.19
Na  0.7500  0.2500  0.5000  4 Bi 3.05
Na  0.5000  0.5000  0.0000  4 Bi 3.05

Computed properties:
**Theoretical density**: 7.14 Mg/m³
**E_tot**: -44.8158 eV/atom
**ΔE_f**: 0.12 eV per atom

=====

> Which of these has the lowest theoretical density?

Na3CrBi